No. 1
AlGaS3 | PBE | optimized geometry

```
data_AlGaS3
_space_group_name_H-M_alt 'P 1 21/m 1'
_space_group_IT_number 11
_cell_length_a 6.839
_cell_length_b 3.547
_cell_length_c 9.749
_cell_angle_alpha 90.00
_cell_angle_beta 97.52
_cell_angle_gamma 90.00
loop_
_space_group_symop_operation_xyz
'x,y,z'
'-x,-y,-z'
'-x,y+1/2,-z'
'x,-y+1/2,z'
loop_
_atom_site_label
_atom_site_type_symbol
_atom_site_fract_x
_atom_site_fract_y
_atom_site_fract_z
Al1 Al 0.164 0.250 0.109
Ga1 Ga 0.329 0.250 0.698
S1 S 0.076 0.250 0.868
S2 S 0.256 0.750 0.567
S3 S 0.386 0.750 0.145
```

Values from the calculation:
Calculated total energy ... -23.02 eV/f.u.
Density of states at the Fermi level ... 0.0 states/eV/f.u.
Size of the total moment ... 0.00 μB/f.u.
Formation energy (no corrections) ... -0.77 eV per atom

No. 2
Ti2VI | PBE | optimized geometry

```
data_Ti2VI
_space_group_name_H-M_alt 'F m -3 m'
_space_group_IT_number 225
_space_group_name_Hall '-F 4 2 3'
_cell_length_a 6.504
_cell_length_b 6.504
_cell_length_c 6.504
_cell_angle_alpha 90.00
_cell_angle_beta 90.00
_cell_angle_gamma 90.00
loop_
_atom_site_label
_atom_site_type_symbol
_atom_site_fract_x
_atom_site_fract_y
_atom_site_fract_z
Ti1 Ti 0.250 0.250 0.250
V1 V 0.000 0.000 0.000
I1 I 0.000 0.000 0.500
```

Values from the calculation:
Calculated total energy ... -24.45 eV/f.u.
Density of states at the Fermi level ... 5.9 states/eV/f.u.
Size of the total moment ... 0.00 μB/f.u.
Formation energy (no corrections) ... 0.50 eV per atom

No. 3
Ba2InHgAu6 | PBE | optimized geometry

```
data_Ba2InHgAu6
_space_group_name_H-M_alt 'F m -3 m'
_space_group_IT_number 225
_space_group_name_Hall '-F 4 2 3'
_cell_length_a 10.663
_cell_length_b 10.663
_cell_length_c 10.663
_cell_angle_alpha 90.00
_cell_angle_beta 90.00
_cell_angle_gamma 90.00
loop_
_atom_site_label
_atom_site_type_symbol
_atom_site_fract_x
_atom_site_fract_y
_atom_site_fract_z
Ba1 Ba 0.250 0.250 0.250
In1 In 0.000 0.000 0.000
Hg1 Hg 0.000 0.000 0.500
Au1 Au 0.000 0.000 0.249
```

Values from the calculation:
Calculated total energy ... -29.37 eV/f.u.
Density of states at the Fermi level ... 3.5 states/eV/f.u.
Size of the total moment ... 0.00 μB/f.u.
Energy of formation from the pure elements ... -282 meV per atom

No. 4
Th5MgIn4 | PBE | optimized geometry

```
data_Th5MgIn4
_space_group_name_H-M_alt 'P m m n'
_space_group_IT_number 59
_cell_length_a 6.530
_cell_length_b 11.209
_cell_length_c 8.763
_cell_angle_alpha 90.00
_cell_angle_beta 90.00
_cell_angle_gamma 90.00
loop_
_space_group_symop_operation_xyz
'x,y,z'
'-x,-y,-z'
'-x+1/2,-y+1/2,z'
'x+1/2,y+1/2,-z'
'x+1/2,-y,-z'
'-x+1/2,y,z'
'-x,y+1/2,-z'
'x,-y+1/2,z'
loop_
_atom_site_label
_atom_site_type_symbol
_atom_site_fract_x
_atom_site_fract_y
_atom_site_fract_z
Th1 Th 0.008 0.002 0.188
Th2 Th 0.250 0.250 0.408
Mg1 Mg 0.250 0.750 0.284
In1 In 0.011 0.250 0.009
In2 In 0.250 0.560 0.508
```

Values from the calculation:
Calculated total energy ... -47.54 eV/f.u.
Density of states at the Fermi level ... 8.4 states/eV/f.u.
Size of the total moment ... 0.00 μB/f.u.
Energy of formation from the pure elements ... 211 meV per atom